Record 1
A relaxed structure of Rb2MgCdH. Source: Alexandria via LeMat-Bulk, functional PBE-GGA.

```
5
Lattice="-5.684 -1.447 1.035 0.392 -3.670 -2.975 1.709 -3.482 4.520" Properties=species:S:1:pos:R:3 pbc="T T T"
H 0.000 0.000 0.000
Mg 0.196 -1.835 -1.488
Rb 0.854 -1.741 2.260
Rb -2.842 -0.723 0.517
Cd -1.791 -4.299 1.290
```

- D(E_F) (states/eV/atom) = 0.685
- total DFT energy (no corrections) (eV per atom) = -1.4295


Record 2
A relaxed structure of Pr12TlGa6. Source: Alexandria via LeMat-Bulk, functional PBE-GGA.

```
19
Lattice="9.120 0.000 0.000 -3.040 8.599 0.000 -3.040 -4.299 7.447" Properties=species:S:1:pos:R:3 pbc="T T T"
Pr -0.098 -2.586 6.033
Pr 0.635 3.345 1.413
Pr 2.406 0.954 6.033
Pr 3.138 6.885 1.413
Pr -2.406 5.702 2.190
Pr 2.943 0.367 2.190
Pr 0.098 3.932 5.256
Pr 5.446 -1.403 5.256
Pr 6.178 2.081 0.777
Pr -0.635 0.449 3.604
Pr 3.675 3.851 3.843
Pr -3.138 2.219 6.670
Tl 0.000 0.000 0.000
Ga -0.729 0.515 6.554
Ga 3.769 3.784 0.893
Ga 0.729 5.934 2.831
Ga 2.311 -1.634 4.616
Ga 5.351 1.119 3.723
Ga -2.311 3.181 3.723
```

- D(E_F) (states/eV/atom) = 1.004
- E_form (eV per formula unit) = -6.69
- total DFT energy (no corrections) (eV per atom) = -4.4510


Record 3
A relaxed structure of LaIr2. Source: Alexandria via LeMat-Bulk, functional PBE-GGA.

```
6
Lattice="2.134 -6.474 0.000 2.134 6.474 0.000 0.000 0.000 4.235" Properties=species:S:1:pos:R:3 pbc="T T T"
La 2.134 -5.250 1.059
La 2.134 5.250 3.176
Ir 2.134 -1.267 1.059
Ir 2.134 1.267 3.176
Ir 2.134 3.207 1.059
Ir 2.134 -3.207 3.176
```

- D(E_F) (states/eV/atom) = 1.210
- E_form (eV per formula unit) = -0.42
- total DFT energy (no corrections) (eV per atom) = -7.6894


Record 4
A relaxed structure of AcTbEr3. Source: Alexandria via LeMat-Bulk, functional PBE-GGA.

```
10
Lattice="-4.513 -0.211 -1.861 0.706 -8.424 5.651 -3.254 -0.222 7.915" Properties=species:S:1:pos:R:3 pbc="T T T"
Ac -2.183 -7.289 6.330
Ac -3.085 -2.748 1.585
Tb -2.985 -4.014 7.904
Tb -5.537 -6.244 7.926
Er -1.901 -2.221 5.070
Er -3.459 -8.372 9.542
Er -5.063 -1.887 6.288
Er -6.622 -8.038 10.760
Er -1.012 -5.321 3.266
Er -4.256 -4.715 4.649
```

- D(E_F) (states/eV/atom) = 1.559
- E_form (eV per formula unit) = 0.79
- total DFT energy (no corrections) (eV per atom) = -4.3268


Record 5
A relaxed structure of Cr2ReRu. Source: Alexandria via LeMat-Bulk, functional PBE-GGA.

```
4
Lattice="4.224 0.000 0.000 0.000 4.224 0.000 0.000 0.000 2.990" Properties=species:S:1:pos:R:3 pbc="T T T"
Cr 0.000 0.000 0.000
Cr 2.112 2.112 0.000
Re 2.112 0.000 1.495
Ru 0.000 2.112 1.495
```

- D(E_F) (states/eV/atom) = 1.203
- E_form (eV per formula unit) = 0.47
- total DFT energy (no corrections) (eV per atom) = -10.1247


Record 6
A relaxed structure of Th6Hg3IrOs2. Source: Alexandria via LeMat-Bulk, functional PBE-GGA.

```
12
Lattice="-5.987 3.644 -1.469 0.340 -4.106 5.857 4.594 6.278 2.672" Properties=species:S:1:pos:R:3 pbc="T T T"
Th -1.701 5.991 4.273
Th -3.211 0.895 3.720
Th 0.649 -0.175 2.787
Th 0.429 3.382 6.739
Th 2.159 4.921 3.340
Th -1.481 2.433 0.321
Hg 1.598 0.306 5.989
Hg -2.650 5.509 1.071
Hg -0.526 2.908 3.530
Ir 0.000 0.000 0.000
Os -1.767 -1.525 3.417
Os -3.880 1.063 0.971
```

- D(E_F) (states/eV/atom) = 0.612
- E_form (eV per formula unit) = -5.23
- total DFT energy (no corrections) (eV per atom) = -6.8316


Record 7
A relaxed structure of NdDyGeH. Source: Alexandria via LeMat-Bulk, functional PBE-GGA.

```
8
Lattice="4.399 0.000 0.000 0.000 4.399 0.000 0.000 0.000 8.520" Properties=species:S:1:pos:R:3 pbc="T T T"
Nd 0.000 2.200 7.453
Nd 2.200 0.000 1.067
Dy 0.000 0.000 4.260
Dy 2.200 2.200 4.260
Ge 2.200 0.000 6.267
Ge 0.000 2.200 2.253
H 2.200 2.200 0.000
H 0.000 0.000 0.000
```

- D(E_F) (states/eV/atom) = 0.836
- total DFT energy (no corrections) (eV per atom) = -4.9493


Record 8
A relaxed structure of Cs5MnS4. Source: Alexandria via LeMat-Bulk, functional PBE-GGA.

```
20
Lattice="-2.163 4.731 5.772 -6.336 -7.514 3.785 7.582 -3.513 5.720" Properties=species:S:1:pos:R:3 pbc="T T T"
Cs -1.063 1.256 6.279
Cs 3.052 -0.651 9.383
Cs 3.535 -1.198 3.542
Cs -4.994 -3.404 8.626
Cs -0.878 -5.311 11.731
Cs -2.883 -4.891 5.683
Cs 0.583 -6.497 8.298
Cs -5.076 0.416 6.983
Cs 2.989 -3.644 6.861
Cs -0.477 -2.038 4.246
Mn -0.457 1.000 1.220
Mn -1.083 -1.782 9.305
S -1.407 -1.149 1.159
S 0.810 0.923 3.188
S 5.266 -1.142 6.550
S -5.237 -5.691 3.447
S -2.640 -2.605 10.862
S -2.350 -1.704 7.337
S 0.775 -3.152 9.694
S -0.133 0.368 9.365
```

- D(E_F) (states/eV/atom) = 0.146
- ΔE_f (raw) (meV per atom) = -920.3
- total DFT energy (no corrections) (eV per atom) = -3.9150


Calculated volume (Å³/atom), listed in the same order as above: 33.6; 30.7; 19.5; 35.2; 13.3; 29.1; 20.6; 41.4